First-principles (GGA-PBE) data for a relaxed structure of TlIn2TcPt, as listed in Alexandria.

POSCAR file:
```
TlIn2TcPt
1.0
5.141 0.000 0.000
0.000 5.141 0.000
0.000 0.000 5.205
Tl In Tc Pt
1 2 1 1
direct
0.000 0.000 0.000
0.000 0.500 0.500
0.500 0.000 0.500
0.000 0.000 0.500
0.500 0.500 0.000
```

Values from the calculation:
**Mass density**: 8.8 g cm⁻³
**Volume**: 137.6 Å³ per cell
**ΔE_f**: 0.858 eV/atom
**Spin magnetization**: 1.22 μB/f.u.
**Electronic total energy**: -3.992 eV per atom

=====

First-principles (GGA-PBE) data for a relaxed structure of Pr6Sm8Mg, as listed in Alexandria.

POSCAR file:
```
Pr6Sm8Mg
1.0
9.585 0.000 0.000
-4.792 8.301 0.000
0.000 0.000 6.535
Pr Sm Mg
6 8 1
direct
0.090 0.644 0.177
0.356 0.446 0.177
0.446 0.090 0.823
0.554 0.910 0.177
0.644 0.554 0.823
0.910 0.356 0.823
0.039 0.771 0.683
0.229 0.267 0.683
0.267 0.039 0.317
0.333 0.667 0.646
0.667 0.333 0.354
0.733 0.961 0.683
0.771 0.733 0.317
0.961 0.229 0.317
0.000 0.000 0.000
```

Values from the calculation:
**Mass density**: 6.6 g cm⁻³
**Volume**: 519.9 Å³ per cell
**ΔE_f**: 0.116 eV/atom
**Spin magnetization**: 0.00 μB/f.u.
**Electronic total energy**: -4.419 eV per atom

=====

First-principles (GGA-PBE) data for a relaxed structure of NaSn2OsBr, as listed in Alexandria.

POSCAR file:
```
NaSn2OsBr
1.0
5.763 0.000 0.000
0.000 5.763 0.000
0.000 0.000 4.553
Na Sn Os Br
1 2 1 1
direct
0.000 0.000 0.000
0.000 0.500 0.500
0.500 0.000 0.500
0.500 0.500 0.000
0.500 0.500 0.500
```

Values from the calculation:
**Mass density**: 5.8 g cm⁻³
**Volume**: 151.2 Å³ per cell
**Spin magnetization**: 0.00 μB/f.u.
**E_form (uncorrected)**: 1.138 eV/atom
**Electronic total energy**: -3.307 eV per atom

=====

First-principles (GGA-PBE) data for a relaxed structure of AlZnFeRh, as listed in Alexandria.

POSCAR file:
```
AlZnFeRh
1.0
0.000 2.967 2.967
2.967 0.000 2.967
2.967 2.967 0.000
Al Zn Fe Rh
1 1 1 1
direct
0.000 0.000 0.000
0.500 0.500 0.500
0.750 0.750 0.750
0.250 0.250 0.250
```

Values from the calculation:
**Mass density**: 8.0 g cm⁻³
**Volume**: 52.2 Å³ per cell
**ΔE_f**: -0.364 eV/atom
**Spin magnetization**: 1.50 μB/f.u.
**Electronic total energy**: -5.572 eV per atom

=====

First-principles (GGA-PBE) data for a relaxed structure of Pm6Nd12Y, as listed in Alexandria.

POSCAR file:
```
Pm6Nd12Y
1.0
7.905 4.564 3.245
-7.905 4.564 3.245
0.000 -9.127 3.245
Pm Nd Y
6 12 1
direct
0.222 0.670 0.670
0.330 0.330 0.778
0.330 0.778 0.330
0.670 0.222 0.670
0.670 0.670 0.222
0.778 0.330 0.330
0.107 0.500 0.893
0.107 0.893 0.500
0.177 0.381 0.381
0.381 0.177 0.381
0.381 0.381 0.177
0.500 0.107 0.893
0.500 0.893 0.107
0.619 0.619 0.823
0.619 0.823 0.619
0.823 0.619 0.619
0.893 0.107 0.500
0.893 0.500 0.107
0.000 0.000 0.000
```

Values from the calculation:
**Mass density**: 6.4 g cm⁻³
**Volume**: 702.3 Å³ per cell
**ΔE_f**: 0.400 eV/atom
**Spin magnetization**: 0.00 μB/f.u.
**Electronic total energy**: -4.451 eV per atom

=====

First-principles (GGA-PBE) data for a relaxed structure of TaSiNi2, as listed in Alexandria.

POSCAR file:
```
TaSiNi2
1.0
3.426 -1.971 0.000
3.426 1.971 0.000
-2.270 0.000 4.020
Ta Si Ni
1 1 2
direct
0.000 0.000 0.000
0.213 0.213 0.636
0.557 0.557 0.668
0.779 0.779 0.337
```

Values from the calculation:
**Mass density**: 10.0 g cm⁻³
**Volume**: 54.3 Å³ per cell
**Spin magnetization**: 0.00 μB/f.u.
**E_form (uncorrected)**: -0.355 eV/atom
**Electronic total energy**: -7.564 eV per atom